(1)
# Y2Ga4CuPd (PBE, optimized geometry)
# * DFT total energy: -4.9110 eV/atom
data_Y2Ga4CuPd
_chemical_formula_sum 'Y4 Ga8 Cu2 Pd2'
_symmetry_space_group_name_H-M 'A m m 2'
_symmetry_Int_Tables_number 38
_cell_length_a 6.569
_cell_length_b 4.397
_cell_length_c 10.122
_cell_angle_alpha 90.00
_cell_angle_beta 90.00
_cell_angle_gamma 90.00
loop_
_symmetry_equiv_pos_as_xyz
'x,y,z'
'-x,-y,z'
'-x,y,z'
'x,-y,z'
'x,y+1/2,z+1/2'
'-x,-y+1/2,z+1/2'
'-x,y+1/2,z+1/2'
'x,-y+1/2,z+1/2'
loop_
_atom_site_label
_atom_site_fract_x
_atom_site_fract_y
_atom_site_fract_z
Y1 0.000 0.000 0.000
Y2 0.500 0.000 0.177
Ga1 0.195 0.000 0.716
Ga2 0.300 0.000 0.463
Cu1 0.000 0.000 0.291
Pd1 0.500 0.000 0.888

(2)
# InCuGeS3 (PBE, optimized geometry)
# * distance to the lowest polymorph of the same formula: 0 meV/atom
data_InCuGeS3
_chemical_formula_sum 'In4 Cu4 Ge4 S12'
_symmetry_space_group_name_H-M 'C m c m'
_symmetry_Int_Tables_number 63
_symmetry_space_group_name_Hall '-C 2c 2'
_cell_length_a 3.719
_cell_length_b 11.807
_cell_length_c 10.742
_cell_angle_alpha 90.00
_cell_angle_beta 90.00
_cell_angle_gamma 90.00
loop_
_atom_site_label
_atom_site_fract_x
_atom_site_fract_y
_atom_site_fract_z
In1 0.000 0.000 0.000
Cu1 0.000 0.449 0.250
Ge1 0.000 0.255 0.750
S1 0.000 0.093 0.250
S2 0.000 0.360 0.065

(3)
# LuBiAsO (PBE, optimized geometry)
# * distance to the lowest polymorph of the same formula: 0 meV/atom
data_LuBiAsO
_chemical_formula_sum 'Lu2 Bi2 As2 O2'
_symmetry_space_group_name_H-M 'P 4/n m m'
_symmetry_Int_Tables_number 129
_cell_length_a 4.207
_cell_length_b 4.207
_cell_length_c 9.855
_cell_angle_alpha 90.00
_cell_angle_beta 90.00
_cell_angle_gamma 90.00
loop_
_symmetry_equiv_pos_as_xyz
'x,y,z'
'-x,-y,-z'
'-y+1/2,x,z'
'y+1/2,-x,-z'
'-x+1/2,-y+1/2,z'
'x+1/2,y+1/2,-z'
'y,-x+1/2,z'
'-y,x+1/2,-z'
'x+1/2,-y,-z'
'-x+1/2,y,z'
'-y,-x,-z'
'y,x,z'
'-x,y+1/2,-z'
'x,-y+1/2,z'
'y+1/2,x+1/2,-z'
'-y+1/2,-x+1/2,z'
loop_
_atom_site_label
_atom_site_fract_x
_atom_site_fract_y
_atom_site_fract_z
Lu1 0.250 0.250 0.082
Bi1 0.250 0.750 0.500
As1 0.250 0.250 0.743
O1 0.250 0.750 0.000

(4)
# Sm2HoS3 (PBE, optimized geometry)
# * DFT total energy: -6.4086 eV/atom
data_Sm2HoS3
_chemical_formula_sum 'Sm2 Ho1 S3'
_symmetry_space_group_name_H-M 'P -3 m 1'
_symmetry_Int_Tables_number 164
_symmetry_space_group_name_Hall '-P 3 2"'
_cell_length_a 3.9538
_cell_length_b 3.9538
_cell_length_c 9.7490
_cell_angle_alpha 90.00
_cell_angle_beta 90.00
_cell_angle_gamma 120.00
loop_
_atom_site_label
_atom_site_fract_x
_atom_site_fract_y
_atom_site_fract_z
Sm1 0.3333 0.6667 0.1690
Ho1 0.0000 0.0000 0.5000
S1 0.0000 0.0000 0.0000
S2 0.3333 0.6667 0.6572

(5)
# SrPaTc (PBE, optimized geometry)
# * DFT total energy: -5.9008 eV/atom
data_SrPaTc
_chemical_formula_sum 'Sr4 Pa4 Tc4'
_symmetry_space_group_name_H-M 'F -4 3 m'
_symmetry_Int_Tables_number 216
_symmetry_space_group_name_Hall 'F -4 2 3'
_cell_length_a 6.772
_cell_length_b 6.772
_cell_length_c 6.772
_cell_angle_alpha 90.00
_cell_angle_beta 90.00
_cell_angle_gamma 90.00
loop_
_atom_site_label
_atom_site_fract_x
_atom_site_fract_y
_atom_site_fract_z
Sr1 0.000 0.000 0.000
Pa1 0.250 0.250 0.250
Tc1 0.000 0.000 0.500

(6)
# PrNdSi2Mo2C (PBE, optimized geometry)
# * DFT total energy: -7.8495 eV/atom
data_PrNdSi2Mo2C
_chemical_formula_sum 'Pr2 Nd2 Si4 Mo4 C2'
_symmetry_space_group_name_H-M 'C 1 m 1'
_symmetry_Int_Tables_number 8
_cell_length_a 11.276
_cell_length_b 3.940
_cell_length_c 7.370
_cell_angle_alpha 90.00
_cell_angle_beta 126.02
_cell_angle_gamma 90.00
loop_
_symmetry_equiv_pos_as_xyz
'x,y,z'
'x,-y,z'
'x+1/2,y+1/2,z'
'x+1/2,-y+1/2,z'
loop_
_atom_site_label
_atom_site_fract_x
_atom_site_fract_y
_atom_site_fract_z
Pr1 0.000 0.000 0.000
Nd1 0.347 0.500 0.398
Si1 0.058 0.500 0.374
Si2 0.288 0.000 0.023
Mo1 0.128 0.500 0.778
Mo2 0.218 0.000 0.618
C1 0.423 0.000 0.696